An optimized crystal structure of CdReSe2. Source: the Alexandria database, functional PBE.

Summary:
**Energy**: -4.289 eV per atom
**Energy relative to the lowest polymorph listed for this composition**: 786 meV/atom
**Symmetry**: I-4m2 (119)
**Uncorrected formation energy**: 0.79 eV/atom
**DOS at the Fermi energy**: 2.8 states/eV per cell
**ρ**: 8.0 g cm⁻³

```
4
Lattice="-1.8706 1.8706 6.7362 1.8706 -1.8706 6.7362 1.8706 1.8706 -6.7362" Properties=species:S:1:pos:R:3 pbc="T T T"
Cd 0.0000 0.0000 0.0000
Re 1.8706 0.0000 3.3681
Se 0.0000 0.0000 6.7362
Se 0.0000 1.8706 3.3681
```